--- P ---
The following is a PBE-GGA calculation of crystalline SrMg3Ti at its relaxed geometry, from Alexandria. Values from VASP.

Cell and atoms, written as Quantum ESPRESSO input:
```
&SYSTEM
  ibrav = 0, nat = 5, ntyp = 3
/
ATOMIC_SPECIES
Mg 24.30 Mg.upf
Sr 87.62 Sr.upf
Ti 47.87 Ti.upf
CELL_PARAMETERS angstrom
-2.270 2.914 4.011
-4.907 -0.696 -2.272
-0.702 -4.556 2.912
ATOMIC_POSITIONS crystal
Mg 0.500 0.000 0.000
Mg 0.000 0.500 0.000
Mg 0.000 0.000 0.500
Sr 0.500 0.500 0.500
Ti 0.000 0.000 0.000
```

crystal system: cubic
magnetization: 0.74 μB/atom

***

--- Q ---
The following is a PBE-GGA calculation of crystalline SrMg3Ti at its relaxed geometry, from Alexandria. Values from VASP.

Cell and atoms, written as Quantum ESPRESSO input:
```
&SYSTEM
  ibrav = 0, nat = 5, ntyp = 3
/
ATOMIC_SPECIES
Mg 24.30 Mg.upf
Ti 47.87 Ti.upf
Sr 87.62 Sr.upf
CELL_PARAMETERS angstrom
5.616 0.000 0.000
0.000 5.616 0.000
0.000 0.000 5.616
ATOMIC_POSITIONS crystal
Mg 0.500 0.000 0.000
Mg 0.000 0.000 0.500
Mg 0.000 0.500 0.000
Ti 0.500 0.500 0.500
Sr 0.000 0.000 0.000
```

crystal system: cubic
magnetization: 0.00 μB/atom

***

Of them, the most stable is P and the least stable is Q.

***

--- P ---
The following is a PBE-GGA calculation of crystalline SrMg6Tl12 at its relaxed geometry, from Alexandria. Values from VASP.

Cell and atoms, written as Quantum ESPRESSO input:
```
&SYSTEM
  ibrav = 0, nat = 19, ntyp = 3
/
ATOMIC_SPECIES
Tl 204.38 Tl.upf
Mg 24.30 Mg.upf
Sr 87.62 Sr.upf
CELL_PARAMETERS angstrom
8.902 0.000 0.000
-2.967 8.393 0.000
-2.967 -4.196 7.268
ATOMIC_POSITIONS crystal
Tl 0.271 0.082 0.811
Tl 0.811 0.729 0.540
Tl 0.540 0.811 0.729
Tl 0.271 0.460 0.189
Tl 0.082 0.811 0.271
Tl 0.460 0.189 0.271
Tl 0.811 0.271 0.082
Tl 0.189 0.729 0.918
Tl 0.729 0.540 0.811
Tl 0.729 0.918 0.189
Tl 0.189 0.271 0.460
Tl 0.918 0.189 0.729
Mg 0.355 0.500 0.855
Mg 0.500 0.855 0.355
Mg 0.645 0.500 0.145
Mg 0.145 0.645 0.500
Mg 0.855 0.355 0.500
Mg 0.500 0.145 0.645
Sr 0.000 0.000 0.000
```

crystal system: cubic
magnetization: 0.00 μB/atom

***

--- Q ---
The following is a PBE-GGA calculation of crystalline SrMg6Tl12 at its relaxed geometry, from Alexandria. Values from VASP.

Cell and atoms, written as Quantum ESPRESSO input:
```
&SYSTEM
  ibrav = 0, nat = 19, ntyp = 3
/
ATOMIC_SPECIES
Mg 24.30 Mg.upf
Tl 204.38 Tl.upf
Sr 87.62 Sr.upf
CELL_PARAMETERS angstrom
7.771 0.000 2.491
-3.902 7.442 3.261
-0.033 0.000 9.014
ATOMIC_POSITIONS crystal
Mg 0.558 0.513 0.788
Mg 0.345 0.788 0.699
Mg 0.655 0.212 0.301
Mg 0.955 0.301 0.487
Mg 0.045 0.699 0.513
Mg 0.442 0.487 0.212
Tl 0.739 0.555 0.372
Tl 0.488 0.158 0.719
Tl 0.792 0.281 0.877
Tl 0.512 0.842 0.281
Tl 0.890 0.628 0.927
Tl 0.261 0.445 0.628
Tl 0.669 0.877 0.842
Tl 0.183 0.073 0.555
Tl 0.208 0.719 0.123
Tl 0.331 0.123 0.158
Tl 0.817 0.927 0.445
Tl 0.110 0.372 0.073
Sr 0.000 0.000 0.000
```

crystal system: trigonal
magnetization: 0.00 μB/atom

***

Of them, the most stable is Q and the least stable is P.

***

--- P ---
The following is a PBE-GGA calculation of crystalline SrMg2Tl at its relaxed geometry, from Alexandria. Values from VASP.

Cell and atoms, written as Quantum ESPRESSO input:
```
&SYSTEM
  ibrav = 0, nat = 4, ntyp = 3
/
ATOMIC_SPECIES
Tl 204.38 Tl.upf
Sr 87.62 Sr.upf
Mg 24.30 Mg.upf
CELL_PARAMETERS angstrom
-0.779 3.824 -5.222
0.950 0.556 -6.426
-4.408 -1.169 -3.157
ATOMIC_POSITIONS crystal
Tl 0.250 0.250 0.250
Sr 0.750 0.750 0.750
Mg 0.526 0.526 0.474
Mg 0.974 0.974 0.026
```

crystal system: monoclinic
magnetization: 0.00 μB/atom

***

--- Q ---
The following is a PBE-GGA calculation of crystalline SrMg2Tl at its relaxed geometry, from Alexandria. Values from VASP.

Cell and atoms, written as Quantum ESPRESSO input:
```
&SYSTEM
  ibrav = 0, nat = 4, ntyp = 3
/
ATOMIC_SPECIES
Mg 24.30 Mg.upf
Sr 87.62 Sr.upf
Tl 204.38 Tl.upf
CELL_PARAMETERS angstrom
-3.368 -2.067 -0.269
2.082 -3.309 -0.638
0.210 -1.323 7.546
ATOMIC_POSITIONS crystal
Mg 0.000 0.000 0.539
Mg 0.000 0.000 0.961
Sr 0.500 0.500 0.250
Tl 0.500 0.500 0.750
```

crystal system: tetragonal
magnetization: 0.00 μB/atom

***

Of them, the most stable is P and the least stable is Q.

***

--- P ---
The following is a PBE-GGA calculation of crystalline SrMg2Tl at its relaxed geometry, from Alexandria. Values from VASP.

Cell and atoms, written as Quantum ESPRESSO input:
```
&SYSTEM
  ibrav = 0, nat = 4, ntyp = 3
/
ATOMIC_SPECIES
Mg 24.30 Mg.upf
Sr 87.62 Sr.upf
Tl 204.38 Tl.upf
CELL_PARAMETERS angstrom
10.406 -0.010 -0.006
9.721 3.713 -0.006
9.721 1.788 3.254
ATOMIC_POSITIONS crystal
Mg 0.741 0.741 0.741
Mg 0.999 0.999 0.999
Sr 0.501 0.501 0.501
Tl 0.259 0.259 0.259
```

crystal system: trigonal
magnetization: 0.00 μB/atom

***

--- Q ---
The following is a PBE-GGA calculation of crystalline SrMg2Tl at its relaxed geometry, from Alexandria. Values from VASP.

Cell and atoms, written as Quantum ESPRESSO input:
```
&SYSTEM
  ibrav = 0, nat = 16, ntyp = 3
/
ATOMIC_SPECIES
Sr 87.62 Sr.upf
Tl 204.38 Tl.upf
Mg 24.30 Mg.upf
CELL_PARAMETERS angstrom
4.902 0.000 0.000
-2.451 9.323 0.000
0.000 0.000 10.543
ATOMIC_POSITIONS crystal
Sr 0.690 0.379 0.250
Sr 0.310 0.621 0.750
Sr 0.500 0.000 0.500
Sr 0.500 0.000 0.000
Tl 0.141 0.283 0.026
Tl 0.859 0.717 0.974
Tl 0.859 0.717 0.526
Tl 0.141 0.283 0.474
Mg 0.697 0.394 0.597
Mg 0.303 0.606 0.097
Mg 0.303 0.606 0.403
Mg 0.697 0.394 0.903
Mg 0.114 0.228 0.750
Mg 0.954 0.907 0.750
Mg 0.886 0.772 0.250
Mg 0.046 0.093 0.250
```

crystal system: orthorhombic
magnetization: 0.00 μB/atom

***

--- R ---
The following is a PBE-GGA calculation of crystalline SrMg2Tl at its relaxed geometry, from Alexandria. Values from VASP.

Cell and atoms, written as Quantum ESPRESSO input:
```
&SYSTEM
  ibrav = 0, nat = 4, ntyp = 3
/
ATOMIC_SPECIES
Sr 87.62 Sr.upf
Mg 24.30 Mg.upf
Tl 204.38 Tl.upf
CELL_PARAMETERS angstrom
-4.320 2.790 1.780
-3.076 -4.410 -0.589
4.530 -0.233 3.006
ATOMIC_POSITIONS crystal
Sr 0.500 0.500 0.000
Mg 0.750 0.253 0.503
Mg 0.000 0.000 0.000
Tl 0.250 0.748 0.498
```

crystal system: monoclinic
magnetization: 0.00 μB/atom

***

--- S ---
The following is a PBE-GGA calculation of crystalline SrMg2Tl at its relaxed geometry, from Alexandria. Values from VASP.

Cell and atoms, written as Quantum ESPRESSO input:
```
&SYSTEM
  ibrav = 0, nat = 4, ntyp = 3
/
ATOMIC_SPECIES
Mg 24.30 Mg.upf
Tl 204.38 Tl.upf
Sr 87.62 Sr.upf
CELL_PARAMETERS angstrom
0.721 2.944 4.462
-4.217 1.233 3.129
-0.517 -2.292 4.856
ATOMIC_POSITIONS crystal
Mg 0.250 0.250 0.250
Mg 0.750 0.750 0.750
Tl 0.500 0.500 0.500
Sr 0.000 0.000 0.000
```

crystal system: cubic
magnetization: 0.00 μB/atom

***

Of them, the most stable is Q and the least stable is P.

***

--- P ---
The following is a PBE-GGA calculation of crystalline Sr2MgTl3 at its relaxed geometry, from Alexandria. Values from VASP.

Cell and atoms, written as Quantum ESPRESSO input:
```
&SYSTEM
  ibrav = 0, nat = 12, ntyp = 3
/
ATOMIC_SPECIES
Sr 87.62 Sr.upf
Mg 24.30 Mg.upf
Tl 204.38 Tl.upf
CELL_PARAMETERS angstrom
6.542 -0.742 0.000
-0.995 6.508 0.000
-2.773 -2.883 9.094
ATOMIC_POSITIONS crystal
Sr 0.250 0.750 0.500
Sr 0.244 0.244 0.000
Sr 0.756 0.756 0.000
Sr 0.750 0.250 0.500
Mg 0.667 0.667 0.334
Mg 0.333 0.333 0.666
Tl 0.829 0.829 0.658
Tl 0.342 0.829 0.171
Tl 0.829 0.342 0.171
Tl 0.171 0.171 0.342
Tl 0.171 0.658 0.829
Tl 0.658 0.171 0.829
```

crystal system: orthorhombic
magnetization: 0.00 μB/atom

***

--- Q ---
The following is a PBE-GGA calculation of crystalline Sr2MgTl3 at its relaxed geometry, from Alexandria. Values from VASP.

Cell and atoms, written as Quantum ESPRESSO input:
```
&SYSTEM
  ibrav = 0, nat = 6, ntyp = 3
/
ATOMIC_SPECIES
Mg 24.30 Mg.upf
Tl 204.38 Tl.upf
Sr 87.62 Sr.upf
CELL_PARAMETERS angstrom
4.751 0.000 1.990
2.127 6.126 1.588
0.047 -0.106 6.555
ATOMIC_POSITIONS crystal
Mg 0.169 0.393 0.268
Tl 0.826 0.223 0.125
Tl 0.850 0.607 0.692
Tl 0.158 0.777 0.907
Sr 0.542 0.202 0.714
Sr 0.455 0.797 0.294
```

crystal system: monoclinic
magnetization: 0.00 μB/atom

***

Of them, the most stable is Q and the least stable is P.

***

--- P ---
The following is a PBE-GGA calculation of crystalline SrMgTl4 at its relaxed geometry, from Alexandria. Values from VASP.

Cell and atoms, written as Quantum ESPRESSO input:
```
&SYSTEM
  ibrav = 0, nat = 6, ntyp = 3
/
ATOMIC_SPECIES
Sr 87.62 Sr.upf
Tl 204.38 Tl.upf
Mg 24.30 Mg.upf
CELL_PARAMETERS angstrom
-3.740 -5.237 -0.758
-3.312 -2.372 5.039
-6.451 0.571 0.194
ATOMIC_POSITIONS crystal
Sr 0.000 0.000 0.000
Tl 0.375 0.375 0.874
Tl 0.375 0.874 0.375
Tl 0.874 0.375 0.375
Tl 0.375 0.375 0.375
Mg 0.750 0.750 0.750
```

crystal system: cubic
magnetization: 0.00 μB/atom

***

--- Q ---
The following is a PBE-GGA calculation of crystalline SrMgTl4 at its relaxed geometry, from Alexandria. Values from VASP.

Cell and atoms, written as Quantum ESPRESSO input:
```
&SYSTEM
  ibrav = 0, nat = 6, ntyp = 3
/
ATOMIC_SPECIES
Tl 204.38 Tl.upf
Sr 87.62 Sr.upf
Mg 24.30 Mg.upf
CELL_PARAMETERS angstrom
0.454 -0.662 4.114
-0.753 -5.953 1.261
8.057 1.471 1.483
ATOMIC_POSITIONS crystal
Tl 0.316 0.019 0.350
Tl 0.684 0.981 0.650
Tl 0.138 0.527 0.198
Tl 0.862 0.473 0.802
Sr 0.000 0.000 0.000
Mg 0.500 0.500 0.500
```

crystal system: monoclinic
magnetization: 0.00 μB/atom

***

--- R ---
The following is a PBE-GGA calculation of crystalline SrMgTl4 at its relaxed geometry, from Alexandria. Values from VASP.

Cell and atoms, written as Quantum ESPRESSO input:
```
&SYSTEM
  ibrav = 0, nat = 6, ntyp = 3
/
ATOMIC_SPECIES
Mg 24.30 Mg.upf
Sr 87.62 Sr.upf
Tl 204.38 Tl.upf
CELL_PARAMETERS angstrom
-0.691 1.236 -4.644
1.626 -4.355 -1.401
-8.021 -3.112 0.365
ATOMIC_POSITIONS crystal
Mg 0.500 0.500 0.500
Sr 0.000 0.000 0.000
Tl 0.500 0.000 0.293
Tl 0.500 0.000 0.707
Tl 0.000 0.500 0.293
Tl 0.000 0.500 0.707
```

crystal system: tetragonal
magnetization: 0.00 μB/atom

***

Of them, the most stable is Q and the least stable is R.